# 1
NdSmTlAu | GGA-PBE | relaxed

Output
Mass density (Mg/m³): 10.6
Formation energy from the elements (eV per atom): -0.578
Crystal system: tetragonal
Magnetic moment (μB per formula unit): 0.0

```
NdSmTlAu
1.0
3.712 0.000 0.000
0.000 3.712 0.000
0.000 0.000 7.941
Nd Sm Tl Au
1 1 1 1
direct
0.000 0.000 0.000
0.000 0.000 0.541
0.500 0.500 0.273
0.500 0.500 0.758
```

***

# 2
Ac8As4S3N | GGA-PBE | relaxed

Output
Mass density (Mg/m³): 7.7
Crystal system: trigonal
Raw total energy (eV/atom): -6.12
Magnetic moment (μB per formula unit): 0.0

```
Ac8As4S3N
1.0
4.406 2.544 7.101
-4.406 2.544 7.101
0.000 -5.087 7.101
Ac As S N
8 4 3 1
direct
0.249 0.249 0.249
0.262 0.737 0.737
0.263 0.263 0.738
0.263 0.738 0.263
0.737 0.262 0.737
0.737 0.737 0.262
0.738 0.263 0.263
0.751 0.751 0.751
0.000 0.000 0.000
0.000 0.500 0.500
0.500 0.000 0.500
0.500 0.500 0.000
0.000 0.000 0.500
0.000 0.500 0.000
0.500 0.000 0.000
0.500 0.500 0.500
```

***

Q: Look up the mass density of the first one.
A: 10.6 Mg/m³

***

Q: Which of these has the lowest mass density?
A: Ac8As4S3N